Record 1
# Sr2PaCoS5 | Alexandria | PBE-GGA | optimized geometry
# - ρ (g/cm³) = 4.874
# - total magnetization (μB per formula unit) = 2.0
# - formation energy from raw total energies (kJ/mol of atoms) = -152.28
data_Sr2PaCoS5
_chemical_formula_sum 'Sr8 Pa4 Co4 S20'
_cell_length_a 3.996
_cell_length_b 17.075
_cell_length_c 12.491
_cell_angle_alpha 90.00
_cell_angle_beta 90.00
_cell_angle_gamma 90.00
_space_group_name_H-M_alt 'C m c 21'
_space_group_IT_number 36
loop_
_space_group_symop_operation_xyz
'x,y,z'
'-x,-y,z+1/2'
'-x,y,z'
'x,-y,z+1/2'
'x+1/2,y+1/2,z'
'-x+1/2,-y+1/2,z+1/2'
'-x+1/2,y+1/2,z'
'x+1/2,-y+1/2,z+1/2'
loop_
_atom_site_label
_atom_site_type_symbol
_atom_site_fract_x
_atom_site_fract_y
_atom_site_fract_z
Sr1 Sr 0.000 0.113 0.000
Sr2 Sr 0.000 0.113 0.348
Pa1 Pa 0.000 0.191 0.681
Co1 Co 0.000 0.435 0.094
S1 S 0.000 0.038 0.679
S2 S 0.000 0.301 0.329
S3 S 0.000 0.308 0.033
S4 S 0.000 0.346 0.674
S5 S 0.000 0.497 0.934

=====

Record 2
# Na3PI | Alexandria | PBE-GGA | optimized geometry
# - ρ (g/cm³) = 2.275
# - offset from the most stable computed form (meV per atom) = 0
# - total magnetization (μB per formula unit) = 1.0
# - formation energy from raw total energies (kJ/mol of atoms) = -41.80
data_Na3PI
_chemical_formula_sum 'Na3 P1 I1'
_cell_length_a 5.491
_cell_length_b 5.491
_cell_length_c 5.491
_cell_angle_alpha 90.00
_cell_angle_beta 90.00
_cell_angle_gamma 90.00
_space_group_name_H-M_alt 'P m -3 m'
_space_group_IT_number 221
_space_group_name_Hall '-P 4 2 3'
loop_
_atom_site_label
_atom_site_type_symbol
_atom_site_fract_x
_atom_site_fract_y
_atom_site_fract_z
Na1 Na 0.000 0.000 0.500
P1 P 0.000 0.000 0.000
I1 I 0.500 0.500 0.500

=====

Record 3
# Ac2Zn | Alexandria | PBE-GGA | optimized geometry
# - ρ (g/cm³) = 8.226
# - offset from the most stable computed form (meV per atom) = 0
# - total magnetization (μB per formula unit) = 0.0
# - DFT formation energy (eV/atom) = -0.162
data_Ac2Zn
_chemical_formula_sum 'Ac4 Zn2'
_cell_length_a 3.944
_cell_length_b 3.944
_cell_length_c 13.480
_cell_angle_alpha 90.00
_cell_angle_beta 90.00
_cell_angle_gamma 90.00
_space_group_name_H-M_alt 'P 4/m m m'
_space_group_IT_number 123
_space_group_name_Hall '-P 4 2'
loop_
_atom_site_label
_atom_site_type_symbol
_atom_site_fract_x
_atom_site_fract_y
_atom_site_fract_z
Ac1 Ac 0.000 0.000 0.000
Ac2 Ac 0.000 0.000 0.285
Ac3 Ac 0.500 0.500 0.500
Zn1 Zn 0.500 0.500 0.144

=====

Record 4
# LaTb2PmNd | Alexandria | PBE-GGA | optimized geometry
# - ρ (g/cm³) = 6.831
# - total magnetization (μB per formula unit) = 0.0
# - DFT formation energy (eV/atom) = 0.339
data_LaTb2PmNd
_chemical_formula_sum 'La4 Tb8 Pm4 Nd4'
_cell_length_a 8.539
_cell_length_b 11.724
_cell_length_c 7.246
_cell_angle_alpha 90.00
_cell_angle_beta 90.00
_cell_angle_gamma 90.00
_space_group_name_H-M_alt 'C m c m'
_space_group_IT_number 63
_space_group_name_Hall '-C 2c 2'
loop_
_atom_site_label
_atom_site_type_symbol
_atom_site_fract_x
_atom_site_fract_y
_atom_site_fract_z
La1 La 0.000 0.234 0.250
Tb1 Tb 0.188 0.000 0.000
Pm1 Pm 0.000 0.224 0.750
Nd1 Nd 0.000 0.499 0.250

=====

Record 5
# Li3MgAu3 | Alexandria | PBE-GGA | optimized geometry
# - ρ (g/cm³) = 8.818
# - total magnetization (μB per formula unit) = 0.0
# - DFT formation energy (eV/atom) = -0.490
data_Li3MgAu3
_chemical_formula_sum 'Li12 Mg4 Au12'
_cell_length_a 7.825
_cell_length_b 7.825
_cell_length_c 7.825
_cell_angle_alpha 90.00
_cell_angle_beta 90.00
_cell_angle_gamma 90.00
_space_group_name_H-M_alt 'P 21 3'
_space_group_IT_number 198
_space_group_name_Hall 'P 2ac 2ab 3'
loop_
_atom_site_label
_atom_site_type_symbol
_atom_site_fract_x
_atom_site_fract_y
_atom_site_fract_z
Li1 Li 0.123 0.377 0.623
Li2 Li 0.165 0.835 0.335
Li3 Li 0.193 0.193 0.193
Mg1 Mg 0.052 0.552 0.948
Au1 Au 0.004 0.197 0.890

=====

Record 6
# Tb2SmZn2Sn2 | Alexandria | PBE-GGA | optimized geometry
# - ρ (g/cm³) = 7.863
# - total magnetization (μB per formula unit) = 0.0
# - DFT formation energy (eV/atom) = -0.352
data_Tb2SmZn2Sn2
_chemical_formula_sum 'Tb6 Sm3 Zn6 Sn6'
_cell_length_a 4.6585
_cell_length_b 4.6585
_cell_length_c 28.1972
_cell_angle_alpha 90.00
_cell_angle_beta 90.00
_cell_angle_gamma 120.00
_space_group_name_H-M_alt 'R -3 m'
_space_group_IT_number 166
_space_group_name_Hall '-R 3 2"'
loop_
_atom_site_label
_atom_site_type_symbol
_atom_site_fract_x
_atom_site_fract_y
_atom_site_fract_z
Tb1 Tb 0.0000 0.0000 0.1313
Sm1 Sm 0.0000 0.0000 0.0000
Zn1 Zn 0.0000 0.0000 0.4204
Sn1 Sn 0.0000 0.0000 0.2668

=====

Record 7
# ReAgCl2 | Alexandria | PBE-GGA | optimized geometry
# - ρ (g/cm³) = 7.895
# - offset from the most stable computed form (meV per atom) = 211
# - total magnetization (μB per formula unit) = 0.0
# - formation energy from raw total energies (kJ/mol of atoms) = 38.02
data_ReAgCl2
_chemical_formula_sum 'Re2 Ag2 Cl4'
_cell_length_a 2.986
_cell_length_b 5.338
_cell_length_c 9.629
_cell_angle_alpha 90.00
_cell_angle_beta 90.00
_cell_angle_gamma 90.00
_space_group_name_H-M_alt 'C m m 2'
_space_group_IT_number 35
loop_
_space_group_symop_operation_xyz
'x,y,z'
'-x,-y,z'
'-x,y,z'
'x,-y,z'
'x+1/2,y+1/2,z'
'-x+1/2,-y+1/2,z'
'-x+1/2,y+1/2,z'
'x+1/2,-y+1/2,z'
loop_
_atom_site_label
_atom_site_type_symbol
_atom_site_fract_x
_atom_site_fract_y
_atom_site_fract_z
Re1 Re 0.000 0.000 0.000
Ag1 Ag 0.000 0.500 0.754
Cl1 Cl 0.000 0.000 0.536
Cl2 Cl 0.000 0.500 0.190

=====

Record 8
# La4ErHg2 | Alexandria | PBE-GGA | optimized geometry
# - ρ (g/cm³) = 7.560
# - total magnetization (μB per formula unit) = 0.0
# - DFT formation energy (eV/atom) = -0.066
data_La4ErHg2
_chemical_formula_sum 'La12 Er3 Hg6'
_cell_length_a 5.6584
_cell_length_b 5.6584
_cell_length_c 26.7121
_cell_angle_alpha 90.00
_cell_angle_beta 90.00
_cell_angle_gamma 120.00
_space_group_name_H-M_alt 'R -3 m'
_space_group_IT_number 166
_space_group_name_Hall '-R 3 2"'
loop_
_atom_site_label
_atom_site_type_symbol
_atom_site_fract_x
_atom_site_fract_y
_atom_site_fract_z
La1 La 0.0000 0.0000 0.1295
La2 La 0.0000 0.0000 0.2708
Er1 Er 0.0000 0.0000 0.5000
Hg1 Hg 0.0000 0.0000 0.3898

=====

no.,Fermi-level density of states (states/eV/f.u.)
1,2.2
2,5.6
3,3.4
4,8.0
5,1.0
6,7.1
7,3.4
8,11.9